No. 1
{
  "formula": "Ce3AsSe3",
  "functional": "PBE",
  "state": "optimized geometry",
  "lattice_angstrom": [[8.720, 0.000, 0.000], [4.360, 7.552, 0.000], [4.360, 2.517, 5.982]],
  "species": ["Ce", "Ce", "Ce", "Ce", "Ce", "Ce", "As", "As", "Se", "Se", "Se", "Se", "Se", "Se"],
  "frac_coords": [[0.296, 0.542, 0.228], [0.934, 0.296, 0.228], [0.542, 0.934, 0.228], [0.458, 0.066, 0.772], [0.066, 0.704, 0.772], [0.704, 0.458, 0.772], [0.335, 0.335, 0.996], [0.665, 0.665, 0.004], [0.364, 0.812, 0.722], [0.812, 0.102, 0.722], [0.102, 0.364, 0.722], [0.898, 0.636, 0.278], [0.188, 0.898, 0.278], [0.636, 0.188, 0.278]],
  "raw_formation_energy_mev_per_atom": -1628,
  "relative_energy_ev_per_atom": 0.000,
  "magmom_total_mub_per_cell": 6.0
}



No. 2
{
  "formula": "Ce4AsSe3",
  "functional": "PBE",
  "state": "optimized geometry",
  "lattice_angstrom": [[-4.381, -4.018, 0.386], [1.756, -1.384, 5.521], [-3.634, 4.174, 2.202]],
  "species": ["Ce", "Ce", "Ce", "Ce", "As", "Se", "Se", "Se"],
  "frac_coords": [[0.500, 0.000, 0.000], [0.000, 0.500, 0.000], [0.000, 0.000, 0.500], [0.500, 0.500, 0.500], [0.000, 0.000, 0.000], [0.000, 0.500, 0.500], [0.500, 0.000, 0.500], [0.500, 0.500, 0.000]],
  "raw_formation_energy_mev_per_atom": -1736,
  "magmom_total_mub_per_cell": 4.1
}



No. 3
{
  "formula": "CeAsSe4",
  "functional": "PBE",
  "state": "optimized geometry",
  "lattice_angstrom": [[-1.475, 4.719, -3.214], [-1.745, -6.863, -2.799], [-8.442, 0.355, 4.395]],
  "species": ["Ce", "Ce", "As", "As", "Se", "Se", "Se", "Se", "Se", "Se", "Se", "Se"],
  "frac_coords": [[0.039, 0.653, 0.750], [0.961, 0.347, 0.250], [0.883, 0.066, 0.750], [0.117, 0.934, 0.250], [0.585, 0.706, 0.750], [0.415, 0.294, 0.250], [0.286, 0.075, 0.750], [0.714, 0.925, 0.250], [0.102, 0.682, 0.062], [0.898, 0.318, 0.562], [0.102, 0.682, 0.438], [0.898, 0.318, 0.938]],
  "raw_formation_energy_mev_per_atom": -742,
  "magmom_total_mub_per_cell": 0.3
}



No. 4
{
  "formula": "Ce3AsSe3",
  "functional": "PBE",
  "state": "optimized geometry",
  "lattice_angstrom": [[5.906, 0.000, 0.000], [0.000, 5.906, 0.000], [0.000, 0.000, 5.906]],
  "species": ["Ce", "Ce", "Ce", "As", "Se", "Se", "Se"],
  "frac_coords": [[0.500, 0.000, 0.500], [0.500, 0.500, 0.000], [0.000, 0.500, 0.500], [0.500, 0.500, 0.500], [0.000, 0.500, 0.000], [0.000, 0.000, 0.500], [0.500, 0.000, 0.000]],
  "raw_formation_energy_mev_per_atom": -1612,
  "relative_energy_ev_per_atom": 0.015,
  "magmom_total_mub_per_cell": 2.7
}



No. 5
{
  "formula": "Ce3As2Se",
  "functional": "PBE",
  "state": "optimized geometry",
  "lattice_angstrom": [[-1.821, -4.783, 5.217], [6.818, -2.239, -1.381], [-1.128, 6.245, 3.624]],
  "species": ["Ce", "Ce", "Ce", "Ce", "Ce", "Ce", "As", "As", "As", "As", "Se", "Se"],
  "frac_coords": [[0.000, 0.162, 0.331], [0.500, 0.331, 0.162], [0.000, 0.500, 0.000], [0.000, 0.838, 0.669], [0.500, 0.000, 0.500], [0.500, 0.669, 0.838], [0.250, 0.917, 0.083], [0.250, 0.251, 0.749], [0.750, 0.083, 0.917], [0.750, 0.749, 0.251], [0.250, 0.583, 0.417], [0.750, 0.417, 0.583]],
  "raw_formation_energy_mev_per_atom": -1577,
  "magmom_total_mub_per_cell": 5.3
}



No. 6
{
  "formula": "Ce2AsSe6",
  "functional": "PBE",
  "state": "optimized geometry",
  "lattice_angstrom": [[-5.020, 0.386, -4.082], [-0.290, -6.470, -0.254], [-8.102, -0.028, 9.962]],
  "species": ["Ce", "Ce", "Ce", "Ce", "As", "As", "Se", "Se", "Se", "Se", "Se", "Se", "Se", "Se", "Se", "Se", "Se", "Se"],
  "frac_coords": [[0.000, 0.000, 0.332], [0.500, 0.500, 0.832], [0.500, 0.500, 0.168], [0.000, 0.000, 0.668], [0.000, 0.000, 0.000], [0.500, 0.500, 0.500], [0.309, 0.309, 0.344], [0.691, 0.691, 0.344], [0.191, 0.809, 0.844], [0.809, 0.191, 0.844], [0.191, 0.809, 0.156], [0.809, 0.191, 0.156], [0.309, 0.309, 0.656], [0.691, 0.691, 0.656], [0.294, 0.294, 0.000], [0.706, 0.706, 0.000], [0.206, 0.794, 0.500], [0.794, 0.206, 0.500]],
  "raw_formation_energy_mev_per_atom": -890,
  "magmom_total_mub_per_cell": 0.0
}



No. 7
{
  "formula": "Ce2AsSe",
  "functional": "PBE",
  "state": "optimized geometry",
  "lattice_angstrom": [[4.177, 0.000, 0.000], [-2.089, 3.618, 0.000], [0.000, 0.000, 14.372]],
  "species": ["Ce", "Ce", "Ce", "Ce", "As", "As", "Se", "Se"],
  "frac_coords": [[0.333, 0.667, 0.383], [0.667, 0.333, 0.883], [0.667, 0.333, 0.617], [0.333, 0.667, 0.117], [0.000, 0.000, 0.500], [0.000, 0.000, 0.000], [0.667, 0.333, 0.250], [0.333, 0.667, 0.750]],
  "raw_formation_energy_mev_per_atom": -1568,
  "relative_energy_ev_per_atom": 0.078,
  "magmom_total_mub_per_cell": 3.9
}



No. 8
{
  "formula": "Ce2AsSe",
  "functional": "PBE",
  "state": "optimized geometry",
  "lattice_angstrom": [[4.128, 0.000, 0.000], [2.064, 3.575, 0.000], [2.064, 1.192, 7.355]],
  "species": ["Ce", "Ce", "As", "Se"],
  "frac_coords": [[0.078, 0.078, 0.765], [0.255, 0.255, 0.234], [0.668, 0.668, 0.995], [0.498, 0.498, 0.505]],
  "raw_formation_energy_mev_per_atom": -1531,
  "relative_energy_ev_per_atom": 0.116,
  "magmom_total_mub_per_cell": 2.1
}



no.,density (g cm⁻³)
1,6.173
2,6.854
3,4.653
4,5.900
5,6.763
6,5.103
7,6.638
8,6.641